The following is a DFT calculation (PBE) of an optimized crystal structure of Mn2WC.

ΔE to the lowest computed polymorph = 0 meV/atom
magnetic moment = 2.904 μB/cell
ΔH_f (0 K) = 0.113 eV per atom
crystal system = trigonal
E_tot = -10.02 eV per atom

Cell and atoms, written as POSCAR:
```
Mn2WC
1.0
1.3993 0.8079 6.6727
-1.3993 0.8079 6.6727
0.0000 -1.6158 6.6727
Mn W C
2 1 1
Direct
0.2218 0.2218 0.2218
0.7782 0.7782 0.7782
0.0000 0.0000 0.0000
0.5000 0.5000 0.5000
```